## P
Below is a relaxed structure of PrNd6Er2, with properties calculated at the GGA-PBE level.

a b c (Å): 8.3065 8.3065 10.5336
angles (deg): 90.00 90.00 90.00
Closest atoms and distances in Å follow each position.
Atoms (fractional coordinates):
Pr  0.0000  0.0000  0.0000  6 Nd 3.08-3.31
Pr  0.5000  0.5000  0.5000  6 Nd 3.08-3.31
Nd  0.2609  0.2609  0.3337  2 Er 3.07-3.33, 1 Pr 3.31
Nd  0.7391  0.7391  0.3337  2 Er 3.07-3.33, 1 Pr 3.31
Nd  0.2391  0.7609  0.8337  2 Er 3.07-3.33, 1 Pr 3.31
Nd  0.7609  0.2391  0.8337  2 Er 3.07-3.33, 1 Pr 3.31
Nd  0.2391  0.7609  0.1663  2 Er 3.07-3.33, 1 Pr 3.31
Nd  0.7609  0.2391  0.1663  2 Er 3.07-3.33, 1 Pr 3.31
Nd  0.2609  0.2609  0.6663  2 Er 3.07-3.33, 1 Pr 3.31
Nd  0.7391  0.7391  0.6663  2 Er 3.07-3.33, 1 Pr 3.31
Nd  0.2624  0.2624  0.0000  1 Pr 3.08, 2 Er 3.28
Nd  0.7376  0.7376  0.0000  1 Pr 3.08, 2 Er 3.28
Nd  0.2376  0.7624  0.5000  1 Pr 3.08, 2 Er 3.28
Nd  0.7624  0.2376  0.5000  1 Pr 3.08, 2 Er 3.28
Er  0.0000  0.0000  0.3358  6 Nd 3.07-3.33
Er  0.5000  0.5000  0.8358  6 Nd 3.07-3.33
Er  0.5000  0.5000  0.1642  6 Nd 3.07-3.33
Er  0.0000  0.0000  0.6642  6 Nd 3.07-3.33

M_tot ... 0.00 μB per cell

## Q
Below is a relaxed structure of PrNd6Er2, with properties calculated at the GGA-PBE level.

a b c (Å): 3.6535 8.9318 13.0902
angles (deg): 132.56 81.92 90.07
Closest atoms and distances in Å follow each position.
Atoms (fractional coordinates):
Pr  0.0000  0.0000  0.0000  6 Nd 3.64-3.66, 4 Er 3.64-3.65, 2 Pr 3.65
Nd  0.8916  0.5542  0.2180  4 Er 3.60-3.61, 7 Nd 3.63-3.71, 1 Pr 3.66
Nd  0.1084  0.4458  0.7820  4 Er 3.60-3.61, 7 Nd 3.63-3.71, 1 Pr 3.66
Nd  0.6666  0.6661  0.6673  2 Pr 3.64, 9 Nd 3.65-3.69, 1 Er 3.67
Nd  0.7788  0.1060  0.4411  2 Er 3.63, 10 Nd 3.63-3.71
Nd  0.2212  0.8940  0.5589  2 Er 3.63, 10 Nd 3.63-3.71
Nd  0.3334  0.3339  0.3327  2 Pr 3.64, 9 Nd 3.65-3.69, 1 Er 3.67
Er  0.4447  0.7762  0.1103  7 Nd 3.60-3.67, 3 Er 3.64-3.65, 2 Pr 3.64-3.65
Er  0.5553  0.2238  0.8897  7 Nd 3.60-3.67, 3 Er 3.64-3.65, 2 Pr 3.64-3.65

M_tot ... 0.00 μB per cell

What are the relative energies? In kJ/mol of atoms: P 56.9; Q 0.0.